[1]
Entry from the Alexandria database: a geometry-optimized BeOsS2Cl structure (GGA-PBE).

Properties
The space group is No. 123. The energy above the most stable polymorph in this dataset comes out at 72.5 kJ/mol of formula units. Its raw formation energy is 0.922 eV per atom.

Cell lengths 4.302, 4.302, 4.096 Å; angles 90.00, 90.00, 90.00 degrees
Each line ends with the local moment (μB).
Atoms (fractional coordinates):
S 0.500 0.000 0.000  0.00
S 0.000 0.500 0.000  0.00
Be 0.000 0.000 0.000  0.00
Os 0.500 0.500 0.500  0.71
Cl 0.000 0.000 0.500  0.05

***

[2]
Entry from the Alexandria database: a geometry-optimized HfPIrS2 structure (GGA-PBE).

Properties
The space group is No. 123. The energy above the most stable polymorph in this dataset comes out at 184.2 kJ/mol of formula units. Its raw formation energy is 0.730 eV per atom.

Cell lengths 4.788, 4.788, 5.068 Å; angles 90.00, 90.00, 90.00 degrees
Each line ends with the local moment (μB).
Atoms (fractional coordinates):
P 0.000 0.000 0.500  0.01
Ir 0.500 0.500 0.500  1.70
S 0.500 0.000 0.000  0.14
S 0.000 0.500 0.000  0.14
Hf 0.000 0.000 0.000  0.01

***

[3]
Entry from the Alexandria database: a geometry-optimized UMn5P3 structure (GGA-PBE).

Properties
The space group is No. 63. The formation enthalpy at 0 K comes out at -0.5345 eV/atom.

Cell lengths 3.758, 6.253, 10.648 Å; angles 90.00, 90.00, 107.49 degrees
Each line ends with the local moment (μB).
Atoms (fractional coordinates):
Mn 0.456 0.913 0.144  0.33
Mn 0.190 0.380 0.939  -0.83
Mn 0.456 0.913 0.356  0.33
Mn 0.000 0.000 0.000  2.28
Mn 0.190 0.380 0.561  -0.83
Mn 0.544 0.087 0.644  0.33
Mn 0.810 0.620 0.439  -0.83
Mn 0.810 0.620 0.061  -0.83
Mn 0.544 0.087 0.856  0.33
Mn 0.000 0.000 0.500  2.28
P 0.628 0.255 0.449  0.00
P 0.372 0.745 0.551  0.00
P 0.107 0.213 0.750  0.02
P 0.372 0.745 0.949  0.00
P 0.893 0.787 0.250  0.02
P 0.628 0.255 0.051  0.00
U 0.814 0.627 0.750  1.90
U 0.186 0.373 0.250  1.90

***

[4]
Entry from the Alexandria database: a geometry-optimized CsCaPb2 structure (GGA-PBE).

Properties
The space group is No. 225. The energy above the most stable polymorph in this dataset comes out at 95.1 kJ/mol of formula units. The formation enthalpy at 0 K comes out at -0.0636 eV/atom.

Cell lengths 5.990, 5.990, 5.990 Å; angles 60.00, 60.00, 60.00 degrees
Atoms (fractional coordinates):
Cs 0.500 0.500 0.500
Pb 0.250 0.250 0.250
Pb 0.750 0.750 0.750
Ca 0.000 0.000 0.000

***

[5]
Entry from the Alexandria database: a geometry-optimized NbIn3Cl7 structure (GGA-PBE).

Properties
The space group is No. 8. Its raw formation energy is -1.013 eV per atom.

Cell lengths 7.155, 7.155, 8.157 Å; angles 67.46, 67.46, 81.17 degrees
Each line ends with the local moment (μB).
Atoms (fractional coordinates):
In 0.508 0.508 0.937  0.00
In 0.800 0.226 0.478  0.00
In 0.226 0.800 0.478  0.00
Cl 0.516 0.516 0.579  0.00
Cl 0.174 0.174 0.091  -0.01
Cl 0.335 0.961 0.737  -0.01
Cl 0.961 0.335 0.737  -0.01
Cl 0.684 0.064 0.197  -0.01
Cl 0.846 0.846 0.847  -0.01
Cl 0.064 0.684 0.197  -0.01
Nb 0.009 0.009 0.972  0.88

***

[6]
Entry from the Alexandria database: a geometry-optimized La2In12Au7 structure (GGA-PBE).

Properties
The space group is No. 174. The formation enthalpy at 0 K comes out at -0.3540 eV/atom.

Cell lengths 4.494, 11.367, 11.367 Å; angles 120.00, 90.00, 90.00 degrees
Atoms (fractional coordinates):
Au 0.500 0.902 0.376
Au 0.000 0.189 0.234
Au 0.000 0.045 0.811
Au 0.500 0.624 0.526
Au 0.000 0.766 0.955
Au 0.000 0.333 0.667
Au 0.500 0.474 0.098
In 0.000 0.503 0.951
In 0.500 0.198 0.446
In 0.000 0.448 0.497
In 0.000 0.049 0.552
In 0.500 0.724 0.095
In 0.000 0.289 0.051
In 0.000 0.949 0.238
In 0.500 0.371 0.276
In 0.500 0.248 0.802
In 0.500 0.905 0.629
In 0.500 0.554 0.752
In 0.000 0.762 0.711
La 0.000 0.667 0.333
La 0.500 0.000 0.000

***

| no. | VASP energy (eV/atom) |
| --- | --- |
| 1 | -4.09 |
| 2 | -5.77 |
| 3 | -8.69 |
| 4 | -2.63 |
| 5 | -3.85 |
| 6 | -3.48 |